{
  "formula": "Mn2AuN",
  "functional": "PBE-GGA",
  "state": "optimized geometry",
  "lattice_angstrom": [[-2.954, 2.954, 3.079], [2.954, -2.954, 3.079], [2.954, 2.954, -3.079]],
  "species": ["Mn", "Mn", "Mn", "Mn", "Au", "Au", "N", "N"],
  "frac_coords": [[0.007, 0.625, 0.882], [0.375, 0.257, 0.382], [0.743, 0.125, 0.118], [0.875, 0.993, 0.618], [0.250, 0.750, 0.500], [0.500, 0.500, 0.000], [0.000, 0.000, 0.000], [0.750, 0.250, 0.500]],
  "volume_a3_per_atom": 13.43,
  "n_ef_per_ev_atom": 0.796,
  "raw_formation_energy_ev_per_atom": 0.020
}


{
  "formula": "KUPaS4",
  "functional": "PBE-GGA",
  "state": "optimized geometry",
  "lattice_angstrom": [[-4.186, 4.192, 5.947], [4.186, -4.192, 5.947], [4.186, 4.192, -5.947]],
  "species": ["K", "K", "U", "U", "Pa", "Pa", "S", "S", "S", "S", "S", "S", "S", "S"],
  "frac_coords": [[0.376, 0.126, 0.250], [0.624, 0.874, 0.750], [0.000, 0.000, 0.500], [0.000, 0.500, 0.000], [0.000, 0.500, 0.500], [0.500, 0.500, 0.000], [0.192, 0.729, 0.463], [0.232, 0.271, 0.539], [0.232, 0.693, 0.961], [0.235, 0.271, 0.963], [0.765, 0.729, 0.037], [0.768, 0.307, 0.039], [0.768, 0.729, 0.461], [0.808, 0.271, 0.537]],
  "volume_a3_per_atom": 29.81,
  "n_ef_per_ev_atom": 1.606,
  "raw_formation_energy_ev_per_atom": -1.448
}


{
  "formula": "SrZrN3",
  "functional": "PBE-GGA",
  "state": "optimized geometry",
  "lattice_angstrom": [[4.278, 0.000, 0.000], [0.000, 4.278, 0.000], [0.000, 0.000, 4.278]],
  "species": ["Sr", "Zr", "N", "N", "N"],
  "frac_coords": [[0.000, 0.000, 0.000], [0.500, 0.500, 0.500], [0.000, 0.500, 0.500], [0.500, 0.000, 0.500], [0.500, 0.500, 0.000]],
  "volume_a3_per_atom": 15.66,
  "n_ef_per_ev_atom": 0.491,
  "raw_formation_energy_ev_per_atom": -0.281
}


{
  "formula": "SmTmNp2Se4",
  "functional": "PBE-GGA",
  "state": "optimized geometry",
  "lattice_angstrom": [[7.050, 0.000, 0.000], [0.000, 4.097, 0.000], [-2.395, 0.000, 6.746]],
  "species": ["Sm", "Tm", "Np", "Np", "Se", "Se", "Se", "Se"],
  "frac_coords": [[0.000, 0.000, 0.000], [0.000, 0.500, 0.500], [0.500, 0.000, 0.500], [0.500, 0.500, 0.000], [0.245, 0.000, 0.743], [0.250, 0.500, 0.257], [0.750, 0.500, 0.743], [0.755, 0.000, 0.257]],
  "volume_a3_per_atom": 24.36,
  "n_ef_per_ev_atom": 2.617,
  "raw_formation_energy_ev_per_atom": -1.395
}


{
  "formula": "Zn4Ag5Au",
  "functional": "PBE-GGA",
  "state": "optimized geometry",
  "lattice_angstrom": [[7.052, -2.106, 0.000], [7.052, 2.106, 0.000], [-3.176, 0.000, 5.957]],
  "species": ["Zn", "Zn", "Zn", "Zn", "Ag", "Ag", "Ag", "Ag", "Ag", "Au"],
  "frac_coords": [[0.014, 0.014, 0.250], [0.326, 0.326, 0.584], [0.674, 0.674, 0.416], [0.986, 0.986, 0.750], [0.164, 0.164, 0.692], [0.181, 0.181, 0.132], [0.500, 0.500, 0.500], [0.819, 0.819, 0.868], [0.836, 0.836, 0.308], [0.500, 0.500, 0.000]],
  "volume_a3_per_atom": 17.70,
  "ef_mev_per_atom": 19,
  "n_ef_per_ev_atom": 0.414
}


{
  "formula": "ScPBr",
  "functional": "PBE-GGA",
  "state": "optimized geometry",
  "lattice_angstrom": [[0.000, 3.256, 3.256], [3.256, 0.000, 3.256], [3.256, 3.256, 0.000]],
  "species": ["Sc", "P", "Br"],
  "frac_coords": [[0.000, 0.000, 0.000], [0.250, 0.250, 0.250], [0.750, 0.750, 0.750]],
  "volume_a3_per_atom": 23.02,
  "n_ef_per_ev_atom": 1.120,
  "raw_formation_energy_ev_per_atom": -0.602
}


{
  "formula": "Li2AcInPd4",
  "functional": "PBE-GGA",
  "state": "optimized geometry",
  "lattice_angstrom": [[2.225, 1.284, 8.796], [-2.225, 1.284, 8.796], [0.000, -2.569, 8.796]],
  "species": ["Li", "Li", "Ac", "In", "Pd", "Pd", "Pd", "Pd"],
  "frac_coords": [[0.233, 0.233, 0.233], [0.767, 0.767, 0.767], [0.000, 0.000, 0.000], [0.500, 0.500, 0.500], [0.124, 0.124, 0.124], [0.398, 0.398, 0.398], [0.602, 0.602, 0.602], [0.876, 0.876, 0.876]],
  "volume_a3_per_atom": 18.85,
  "ef_mev_per_atom": -583,
  "n_ef_per_ev_atom": 0.487
}


{
  "formula": "Tb2TmHg6",
  "functional": "PBE-GGA",
  "state": "optimized geometry",
  "lattice_angstrom": [[7.184, -5.840, 0.000], [7.184, 5.840, 0.000], [-0.944, 0.000, 5.343]],
  "species": ["Tb", "Tb", "Tb", "Tb", "Tm", "Tm", "Hg", "Hg", "Hg", "Hg", "Hg", "Hg", "Hg", "Hg", "Hg", "Hg", "Hg", "Hg"],
  "frac_coords": [[0.041, 0.293, 0.083], [0.293, 0.041, 0.583], [0.707, 0.959, 0.417], [0.959, 0.707, 0.917], [0.375, 0.625, 0.750], [0.625, 0.375, 0.250], [0.071, 0.817, 0.471], [0.155, 0.405, 0.638], [0.183, 0.929, 0.029], [0.266, 0.514, 0.196], [0.405, 0.155, 0.138], [0.486, 0.734, 0.304], [0.514, 0.266, 0.696], [0.595, 0.845, 0.862], [0.734, 0.486, 0.804], [0.817, 0.071, 0.971], [0.845, 0.595, 0.362], [0.929, 0.183, 0.529]],
  "volume_a3_per_atom": 24.91,
  "ef_mev_per_atom": -393,
  "n_ef_per_ev_atom": 0.431
}


{
  "formula": "NpH4",
  "functional": "PBE-GGA",
  "state": "optimized geometry",
  "lattice_angstrom": [[4.012, 0.000, 0.000], [0.000, 4.012, 0.000], [0.000, 0.000, 4.012]],
  "species": ["Np", "H", "H", "H", "H"],
  "frac_coords": [[0.000, 0.000, 0.000], [0.000, 0.000, 0.500], [0.000, 0.500, 0.000], [0.500, 0.000, 0.000], [0.500, 0.500, 0.500]],
  "volume_a3_per_atom": 12.92,
  "n_ef_per_ev_atom": 0.463
}


{
  "formula": "Na2CoRh2S6",
  "functional": "PBE-GGA",
  "state": "optimized geometry",
  "lattice_angstrom": [[3.089, -5.195, 0.000], [3.089, 5.195, 0.000], [-1.970, 0.000, 6.494]],
  "species": ["Na", "Na", "Co", "Rh", "Rh", "S", "S", "S", "S", "S", "S"],
  "frac_coords": [[0.175, 0.825, 0.000], [0.825, 0.175, 0.000], [0.000, 0.000, 0.500], [0.338, 0.662, 0.500], [0.662, 0.338, 0.500], [0.059, 0.381, 0.681], [0.249, 0.249, 0.311], [0.381, 0.059, 0.681], [0.619, 0.941, 0.319], [0.751, 0.751, 0.689], [0.941, 0.619, 0.319]],
  "volume_a3_per_atom": 18.95,
  "n_ef_per_ev_atom": 0.721,
  "raw_formation_energy_ev_per_atom": -0.607
}


{
  "formula": "CsReAg3",
  "functional": "PBE-GGA",
  "state": "optimized geometry",
  "lattice_angstrom": [[5.403, 0.000, 0.000], [0.000, 5.403, 0.000], [0.000, 0.000, 5.403]],
  "species": ["Cs", "Re", "Ag", "Ag", "Ag"],
  "frac_coords": [[0.000, 0.000, 0.000], [0.500, 0.500, 0.500], [0.000, 0.500, 0.500], [0.500, 0.000, 0.500], [0.500, 0.500, 0.000]],
  "volume_a3_per_atom": 31.54,
  "ef_mev_per_atom": 1114,
  "n_ef_per_ev_atom": 0.780
}


{
  "formula": "TlCdAg2",
  "functional": "PBE-GGA",
  "state": "optimized geometry",
  "lattice_angstrom": [[5.334, -1.638, 0.000], [5.334, 1.638, 0.000], [-1.844, 0.000, 4.946]],
  "species": ["Tl", "Cd", "Ag", "Ag"],
  "frac_coords": [[0.000, 0.000, 0.000], [0.225, 0.225, 0.632], [0.479, 0.479, 0.496], [0.757, 0.757, 0.160]],
  "volume_a3_per_atom": 21.60,
  "ef_mev_per_atom": 77,
  "n_ef_per_ev_atom": 0.305
}


no.,energy (eV/cell)
1,-59.73
2,-97.05
3,-36.61
4,-60.17
5,-22.43
6,-15.22
7,-36.11
8,-38.16
9,-23.72
10,-55.89
11,-16.28
12,-8.67